No. 1
Cs3Hg3Bi2, optimized geometry, DFT PBE; spin magnetization = 0.00 Bohr magnetons per cell; Fermi-level density of states = 17.633 states/eV per cell; E = -54.34 eV/cell; E_form = -295 meV/atom
1.0
-4.317 -6.185 1.222
3.936 -4.368 -8.202
13.585 -7.414 10.468
Bi Hg Cs
8 12 12
Direct
0.138 0.869 0.591
0.362 0.369 0.909
0.862 0.131 0.409
0.138 0.869 0.909
0.638 0.631 0.409
0.862 0.131 0.091
0.638 0.631 0.091
0.362 0.369 0.591
0.374 0.695 0.250
0.626 0.305 0.750
0.397 0.665 0.961
0.126 0.195 0.250
0.897 0.835 0.039
0.603 0.335 0.461
0.897 0.835 0.461
0.874 0.805 0.750
0.603 0.335 0.039
0.103 0.165 0.539
0.397 0.665 0.539
0.103 0.165 0.961
0.129 0.476 0.101
0.871 0.524 0.601
0.371 0.976 0.399
0.362 0.649 0.750
0.638 0.351 0.250
0.629 0.024 0.601
0.129 0.476 0.399
0.862 0.851 0.250
0.371 0.976 0.101
0.871 0.524 0.899
0.629 0.024 0.899
0.138 0.149 0.750



No. 2
CsHg3Bi2, optimized geometry, DFT PBE; spin magnetization = 0.00 Bohr magnetons per cell; Fermi-level density of states = 5.555 states/eV per cell; E = -20.31 eV/cell; E_form = -106 meV/atom; energy above the most stable polymorph in this dataset = 0.000 eV per atom
1.0
-4.213 -3.324 4.071
6.337 -2.454 4.555
-2.182 7.062 3.507
Hg Bi Cs
6 4 2
Direct
0.750 0.127 0.458
0.750 0.458 0.127
0.250 0.542 0.873
0.750 0.085 0.085
0.250 0.873 0.542
0.250 0.915 0.915
0.500 0.793 0.207
0.000 0.793 0.207
0.000 0.207 0.793
0.500 0.207 0.793
0.750 0.684 0.684
0.250 0.316 0.316



No. 3
Cs3Hg3Bi8, optimized geometry, DFT PBE; spin magnetization = 0.00 Bohr magnetons per cell; Fermi-level density of states = 5.378 states/eV per cell; E = -36.84 eV/cell; E_form = -166 meV/atom
1.0
5.643 0.000 1.491
2.409 9.589 2.306
0.338 0.001 10.147
Hg Cs Bi
3 3 8
Direct
0.000 0.126 0.874
0.500 0.000 0.000
0.000 0.874 0.126
0.775 0.225 0.225
0.500 0.500 0.500
0.225 0.775 0.775
0.356 0.353 0.936
0.854 0.830 0.462
0.146 0.538 0.170
0.146 0.170 0.538
0.854 0.462 0.830
0.644 0.064 0.647
0.644 0.647 0.064
0.356 0.936 0.353



No. 4
Cs3Hg7Bi4, optimized geometry, DFT PBE; spin magnetization = 0.00 Bohr magnetons per cell; Fermi-level density of states = 2.934 states/eV per cell; E = -22.55 eV/cell; E_form = -168 meV/atom
1.0
-4.952 0.361 2.018
-4.911 -9.168 -3.295
-0.161 -6.931 7.961
Hg Cs Bi
7 3 4
Direct
0.301 0.865 0.534
0.000 0.000 0.000
0.180 0.551 0.088
0.820 0.449 0.912
0.499 0.251 0.752
0.501 0.749 0.248
0.699 0.135 0.466
0.322 0.181 0.175
0.678 0.819 0.825
0.000 0.500 0.500
0.344 0.531 0.781
0.082 0.121 0.714
0.918 0.879 0.286
0.656 0.469 0.219